Record 1
Computed, not measured: a relaxed Al2AgW crystal at the PBE level of DFT.

Lattice parameters (Å, degrees): 4.5136 4.5136 4.5136 60.00 60.00 60.00
With the nearest neighbours (Å) after each atom.
Sites, in units of the cell vectors:
Ag (0.2500, 0.2500, 0.2500)  4 W 2.76, 4 Al 2.76
W (0.5000, 0.5000, 0.5000)  4 Al 2.76, 4 Ag 2.76
Al (0.0000, 0.0000, 0.0000)  4 Al 2.76, 4 Ag 2.76
Al (0.7500, 0.7500, 0.7500)  4 Al 2.76, 4 W 2.76

## Properties
SG = F-43m, No. 216
Energy of formation = 0.512 eV/atom
E above lowest polymorph = 501 meV per atom


Record 2
Computed, not measured: a relaxed Ce6Pb2C crystal at the PBE level of DFT.

Lattice parameters (Å, degrees): 6.6937 6.8254 10.2087 90.00 89.98 90.00
With the nearest neighbours (Å) after each atom.
Sites, in units of the cell vectors:
Ce (0.0002, 0.0000, 0.2622)  1 C 2.43
Ce (0.7176, 0.7583, 0.5001)  1 C 2.51
Ce (0.7823, 0.7416, 0.0000)  1 C 2.51
Ce (0.7177, 0.2416, 0.5000)  1 C 2.51
Ce (0.7824, 0.2583, 0.9999)  1 C 2.51
Ce (0.4998, 0.5000, 0.2378)  1 C 2.43
Ce (0.9998, 0.0000, 0.7378)  1 C 2.43
Ce (0.2824, 0.2417, 0.4999)  1 C 2.51
Ce (0.2177, 0.2584, 0.0000)  1 C 2.51
Ce (0.2823, 0.7584, 0.5000)  1 C 2.51
Ce (0.2176, 0.7417, 0.0001)  1 C 2.51
Ce (0.5002, 0.5000, 0.7622)  1 C 2.43
Pb (0.0002, 0.5000, 0.7374)  12 Ce 3.36-3.54
Pb (0.4998, 0.0000, 0.7626)  12 Ce 3.36-3.54
Pb (0.5002, 0.0000, 0.2374)  12 Ce 3.36-3.54
Pb (0.9998, 0.5000, 0.2626)  12 Ce 3.36-3.54
C (0.5000, 0.5000, 0.0000)  6 Ce 2.43-2.51
C (0.0000, 0.0000, 0.5000)  6 Ce 2.43-2.51

## Properties
SG = Immm, No. 71
Energy of formation = -0.328 eV/atom


Record 3
Computed, not measured: a relaxed CaHoCdGa crystal at the PBE level of DFT.

Lattice parameters (Å, degrees): 5.2138 5.2138 5.2138 60.00 60.00 60.00
With the nearest neighbours (Å) after each atom.
Sites, in units of the cell vectors:
Ca (0.7500, 0.7500, 0.7500)  4 Cd 3.19, 4 Ga 3.19
Ho (0.2500, 0.2500, 0.2500)  4 Cd 3.19, 4 Ga 3.19
Ga (0.0000, 0.0000, 0.0000)  4 Ca 3.19, 4 Ho 3.19
Cd (0.5000, 0.5000, 0.5000)  4 Ho 3.19, 4 Ca 3.19

## Properties
SG = F-43m, No. 216
Energy of formation = -0.420 eV/atom
E above lowest polymorph = 14 meV per atom


Record 4
Computed, not measured: a relaxed PrAlCu5 crystal at the PBE level of DFT.

Lattice parameters (Å, degrees): 5.1021 8.1779 10.3697 90.00 90.00 90.00
With the nearest neighbours (Å) after each atom.
Sites, in units of the cell vectors:
Pr (0.2500, 0.2407, 0.9436)  11 Cu 2.92-3.27, 1 Al 3.23
Pr (0.7500, 0.2593, 0.4436)  11 Cu 2.92-3.27, 1 Al 3.23
Pr (0.2500, 0.7407, 0.5564)  11 Cu 2.92-3.27, 1 Al 3.23
Pr (0.7500, 0.7593, 0.0564)  11 Cu 2.92-3.27, 1 Al 3.23
Al (0.2500, 0.8515, 0.8554)  8 Cu 2.57-2.77
Al (0.7500, 0.6485, 0.3554)  8 Cu 2.57-2.77
Al (0.2500, 0.3515, 0.6446)  8 Cu 2.57-2.77
Al (0.7500, 0.1485, 0.1446)  8 Cu 2.57-2.77
Cu (0.2500, 0.5935, 0.0151)  5 Cu 2.51-2.61, 1 Al 2.68
Cu (0.7500, 0.9065, 0.5151)  5 Cu 2.51-2.61, 1 Al 2.68
Cu (0.2500, 0.0935, 0.4849)  5 Cu 2.51-2.61, 1 Al 2.68
Cu (0.7500, 0.4065, 0.9849)  5 Cu 2.51-2.61, 1 Al 2.68
Cu (0.7500, 0.3205, 0.7462)  7 Cu 2.47-2.65
Cu (0.2500, 0.1795, 0.2462)  7 Cu 2.47-2.65
Cu (0.7500, 0.8205, 0.7538)  7 Cu 2.47-2.65
Cu (0.2500, 0.6795, 0.2538)  7 Cu 2.47-2.65
Cu (0.2500, 0.9334, 0.0944)  4 Cu 2.55-2.65, 1 Al 2.57
Cu (0.7500, 0.5666, 0.5944)  4 Cu 2.55-2.65, 1 Al 2.57
Cu (0.2500, 0.4334, 0.4056)  4 Cu 2.55-2.65, 1 Al 2.57
Cu (0.7500, 0.0666, 0.9056)  4 Cu 2.55-2.65, 1 Al 2.57
Cu (0.9947, 0.4342, 0.1939)  7 Cu 2.47-2.61, 2 Al 2.70-2.73
Cu (0.0053, 0.0658, 0.6939)  7 Cu 2.47-2.61, 2 Al 2.70-2.73
Cu (0.5053, 0.9342, 0.3061)  7 Cu 2.47-2.61, 2 Al 2.70-2.73
Cu (0.4947, 0.5658, 0.8061)  7 Cu 2.47-2.61, 2 Al 2.70-2.73
Cu (0.0053, 0.5658, 0.8061)  7 Cu 2.47-2.61, 2 Al 2.70-2.73
Cu (0.9947, 0.9342, 0.3061)  7 Cu 2.47-2.61, 2 Al 2.70-2.73
Cu (0.4947, 0.0658, 0.6939)  7 Cu 2.47-2.61, 2 Al 2.70-2.73
Cu (0.5053, 0.4342, 0.1939)  7 Cu 2.47-2.61, 2 Al 2.70-2.73

## Properties
SG = Pnma, No. 62
Energy of formation = -0.232 eV/atom


Record 5
Computed, not measured: a relaxed La8ZnHg2 crystal at the PBE level of DFT.

Lattice parameters (Å, degrees): 5.3667 7.1900 10.0509 107.82 105.48 90.00
With the nearest neighbours (Å) after each atom.
Sites, in units of the cell vectors:
La (0.4124, 0.5371, 0.8247)  1 Zn 3.22, 2 Hg 3.39, 3 La 3.43-3.60
La (0.6639, 0.9942, 0.3277)  3 Hg 3.17-3.34, 1 Zn 3.19, 2 La 3.45
La (0.7999, 0.6874, 0.5997)  1 Hg 3.18, 2 La 3.45
La (0.9869, 0.2263, 0.9738)  2 Zn 3.19, 1 Hg 3.22, 3 La 3.43-3.45
La (0.2001, 0.3126, 0.4003)  1 Hg 3.18, 2 La 3.45
La (0.3361, 0.0058, 0.6723)  3 Hg 3.17-3.34, 1 Zn 3.19, 2 La 3.45
La (0.5876, 0.4629, 0.1753)  1 Zn 3.22, 2 Hg 3.39, 3 La 3.43-3.60
La (0.0131, 0.7737, 0.0262)  2 Zn 3.19, 1 Hg 3.22, 3 La 3.43-3.45
Zn (0.5000, 0.0000, 0.0000)  8 La 3.19-3.22
Hg (0.8274, 0.2750, 0.6548)  7 La 3.17-3.39
Hg (0.1726, 0.7250, 0.3452)  7 La 3.17-3.39

## Properties
SG = C2/m, No. 12
Energy of formation = -0.224 eV/atom


Record 6
Computed, not measured: a relaxed AgRu4Rh crystal at the PBE level of DFT.

Lattice parameters (Å, degrees): 5.0977 5.0977 5.0977 60.00 60.00 60.00
With the nearest neighbours (Å) after each atom.
Sites, in units of the cell vectors:
Ag (0.2500, 0.2500, 0.2500)  12 Ru 2.99, 4 Rh 3.12
Ru (0.6252, 0.6252, 0.1244)  6 Ru 2.54-2.55
Ru (0.6252, 0.1244, 0.6252)  6 Ru 2.54-2.55
Ru (0.6252, 0.6252, 0.6252)  6 Ru 2.54-2.55
Ru (0.1244, 0.6252, 0.6252)  6 Ru 2.54-2.55
Rh (0.0000, 0.0000, 0.0000)  12 Ru 2.99, 4 Ag 3.12

## Properties
SG = F-43m, No. 216
Energy of formation = 0.652 eV/atom


Record 7
Computed, not measured: a relaxed TlNiAg2 crystal at the PBE level of DFT.

Lattice parameters (Å, degrees): 3.9957 4.0311 4.3972 90.00 90.00 90.00
With the nearest neighbours (Å) after each atom.
Sites, in units of the cell vectors:
Ag (0.0000, 0.0000, 0.0000)  4 Ag 2.84, 4 Ni 2.97, 4 Tl 2.98
Ag (0.5000, 0.5000, 0.0000)  4 Ag 2.84, 4 Tl 2.97, 4 Ni 2.98
Ni (0.5000, 0.0000, 0.5000)  4 Tl 2.84, 8 Ag 2.97-2.98
Tl (0.0000, 0.5000, 0.5000)  4 Ni 2.84, 8 Ag 2.97-2.98

## Properties
SG = Pmmm, No. 47
Energy of formation = 0.237 eV/atom
E above lowest polymorph = 31 meV per atom


Record 8
Computed, not measured: a relaxed CeSbH crystal at the PBE level of DFT.

Lattice parameters (Å, degrees): 3.9959 5.1691 6.2127 82.86 108.76 90.00
With the nearest neighbours (Å) after each atom.
Sites, in units of the cell vectors:
Sb (0.5951, 0.7126, 0.1903)  4 H 2.89-3.15, 1 Ce 3.22
Sb (0.4049, 0.2874, 0.8097)  4 H 2.89-3.15, 1 Ce 3.22
Ce (0.1379, 0.2065, 0.2757)  3 H 2.23-2.27
Ce (0.8621, 0.7935, 0.7243)  3 H 2.23-2.27
H (0.7294, 0.1428, 0.4586)  3 Ce 2.23-2.27, 2 H 2.49
H (0.2706, 0.8572, 0.5414)  3 Ce 2.23-2.27, 2 H 2.49

## Properties
SG = C2/m, No. 12
E above lowest polymorph = 45 meV per atom


Record 9
Computed, not measured: a relaxed Pm7NiBr12 crystal at the PBE level of DFT.

Lattice parameters (Å, degrees): 9.4156 9.4156 9.4156 107.48 107.48 107.48
With the nearest neighbours (Å) after each atom.
Sites, in units of the cell vectors:
Pm (0.9696, 0.6855, 0.8909)  1 Ni 2.72, 3 Br 2.97-3.03
Pm (0.3145, 0.1091, 0.0304)  1 Ni 2.72, 3 Br 2.97-3.03
Pm (0.1091, 0.0304, 0.3145)  1 Ni 2.72, 3 Br 2.97-3.03
Pm (0.5000, 0.5000, 0.5000)  6 Br 2.94
Pm (0.8909, 0.9696, 0.6855)  1 Ni 2.72, 3 Br 2.97-3.03
Pm (0.6855, 0.8909, 0.9696)  1 Ni 2.72, 3 Br 2.97-3.03
Pm (0.0304, 0.3145, 0.1091)  1 Ni 2.72, 3 Br 2.97-3.03
Ni (0.0000, 0.0000, 0.0000)  6 Pm 2.72
Br (0.9254, 0.3157, 0.7795)  3 Pm 2.97-3.17
Br (0.6843, 0.2205, 0.0746)  3 Pm 2.97-3.17
Br (0.4721, 0.1620, 0.3886)  3 Pm 2.94-3.06
Br (0.8380, 0.6114, 0.5279)  3 Pm 2.94-3.06
Br (0.2205, 0.0746, 0.6843)  3 Pm 2.97-3.17
Br (0.6114, 0.5279, 0.8380)  3 Pm 2.94-3.06
Br (0.3886, 0.4721, 0.1620)  3 Pm 2.94-3.06
Br (0.7795, 0.9254, 0.3157)  3 Pm 2.97-3.17
Br (0.1620, 0.3886, 0.4721)  3 Pm 2.94-3.06
Br (0.5279, 0.8380, 0.6114)  3 Pm 2.94-3.06
Br (0.3157, 0.7795, 0.9254)  3 Pm 2.97-3.17
Br (0.0746, 0.6843, 0.2205)  3 Pm 2.97-3.17

## Properties
SG = R-3, No. 148
Energy relative to the elements, uncorrected = -1.585 eV/atom


Record 10
Computed, not measured: a relaxed MgGeBiBr2 crystal at the PBE level of DFT.

Lattice parameters (Å, degrees): 4.9505 6.4118 4.9505 90.00 90.00 90.00
With the nearest neighbours (Å) after each atom.
Sites, in units of the cell vectors:
Mg (0.0000, 0.0000, 0.0000)  4 Br 2.48
Ge (0.5000, 0.5000, 0.5000)  4 Bi 3.50
Bi (0.0000, 0.5000, 0.0000)  2 Mg 3.21, 4 Ge 3.50
Br (0.0000, 0.0000, 0.5000)  2 Mg 2.48
Br (0.5000, 0.0000, 0.0000)  2 Mg 2.48

## Properties
SG = P4/mmm, No. 123
Energy relative to the elements, uncorrected = -0.114 eV/atom


Record 11
Computed, not measured: a relaxed CaAl12Ni4 crystal at the PBE level of DFT.

Lattice parameters (Å, degrees): 7.6587 7.6587 7.6587 109.47 109.47 109.47
With the nearest neighbours (Å) after each atom.
Sites, in units of the cell vectors:
Ca (0.0000, 0.0000, 0.0000)  12 Al 3.51, 8 Ni 3.83
Al (0.7608, 0.3172, 0.0780)  2 Ni 2.29
Al (0.3172, 0.5564, 0.2392)  2 Ni 2.29
Al (0.9220, 0.2392, 0.6828)  2 Ni 2.29
Al (0.3172, 0.0780, 0.7608)  2 Ni 2.29
Al (0.0780, 0.7608, 0.3172)  2 Ni 2.29
Al (0.6828, 0.4436, 0.7608)  2 Ni 2.29
Al (0.5564, 0.2392, 0.3172)  2 Ni 2.29
Al (0.4436, 0.7608, 0.6828)  2 Ni 2.29
Al (0.6828, 0.9220, 0.2392)  2 Ni 2.29
Al (0.7608, 0.6828, 0.4436)  2 Ni 2.29
Al (0.2392, 0.3172, 0.5564)  2 Ni 2.29
Al (0.2392, 0.6828, 0.9220)  2 Ni 2.29
Ni (0.0000, 0.5000, 0.0000)  6 Al 2.29
Ni (0.5000, 0.0000, 0.0000)  6 Al 2.29
Ni (0.5000, 0.5000, 0.5000)  6 Al 2.29
Ni (0.0000, 0.0000, 0.5000)  6 Al 2.29

## Properties
SG = Im-3, No. 204
Energy of formation = -0.113 eV/atom


Record 12
Computed, not measured: a relaxed Ac2La5Nd4 crystal at the PBE level of DFT.

Lattice parameters (Å, degrees): 3.7744 9.2259 12.4685 104.57 98.71 90.00
With the nearest neighbours (Å) after each atom.
Sites, in units of the cell vectors:
Ac (0.5906, 0.7263, 0.1812)  5 La 3.77-3.82, 2 Ac 3.77, 5 Nd 3.78-3.79
Ac (0.4094, 0.2737, 0.8188)  5 La 3.77-3.82, 2 Ac 3.77, 5 Nd 3.78-3.79
La (0.1368, 0.0974, 0.2736)  3 Nd 3.67-3.73, 7 La 3.71-3.86, 2 Ac 3.82
La (0.8632, 0.9026, 0.7264)  3 Nd 3.67-3.73, 7 La 3.71-3.86, 2 Ac 3.82
La (0.2293, 0.8173, 0.4586)  7 La 3.71-3.86, 3 Nd 3.72-3.75, 2 Ac 3.81
La (0.5000, 0.0000, 0.0000)  4 Nd 3.74, 6 La 3.77, 2 Ac 3.77
La (0.7707, 0.1827, 0.5414)  7 La 3.71-3.86, 3 Nd 3.72-3.75, 2 Ac 3.81
Nd (0.6828, 0.4562, 0.3656)  6 Nd 3.72-3.77, 5 La 3.72-3.75, 1 Ac 3.78
Nd (0.0474, 0.3600, 0.0948)  3 La 3.67-3.74, 5 Nd 3.74-3.90, 4 Ac 3.78-3.79
Nd (0.3172, 0.5438, 0.6344)  6 Nd 3.72-3.77, 5 La 3.72-3.75, 1 Ac 3.78
Nd (0.9526, 0.6400, 0.9052)  3 La 3.67-3.74, 5 Nd 3.74-3.90, 4 Ac 3.78-3.79

## Properties
SG = C2/m, No. 12
Energy of formation = 0.025 eV/atom
E above lowest polymorph = 0 meV per atom